[1]
Here is a geometry-optimized Ba2Sb3 structure from Alexandria via LeMat-Bulk. Energies are from PBE.

## Properties
The total energy comes out at -0.2892 Ry per atom. The value obtained for the uncorrected formation energy is -3.5 eV/f.u.

Structure (CIF):
```
data_Ba2Sb3
_chemical_formula_sum 'Ba2 Sb3'
_space_group_name_H-M_alt 'P 1'
_space_group_IT_number 1
_space_group_name_Hall 'P 1'
_cell_length_a 4.9704
_cell_length_b 4.9704
_cell_length_c 10.1423
_cell_angle_alpha 90.00
_cell_angle_beta 90.00
_cell_angle_gamma 120.00
loop_
_atom_site_label
_atom_site_fract_x
_atom_site_fract_y
_atom_site_fract_z
Ba1 0.6667 0.3333 0.1887
Ba2 0.3333 0.6667 0.8113
Sb1 0.0000 0.0000 0.0000
Sb2 0.6667 0.3333 0.5489
Sb3 0.3333 0.6667 0.4511
```

---

[2]
Here is a geometry-optimized Ba5Sb3 structure from Alexandria via LeMat-Bulk. Energies are from PBE.

## Properties
The total energy comes out at -0.2753 Ry per atom. The value obtained for the uncorrected formation energy is -8.0 eV/f.u. Its energy above the most stable polymorph in this dataset is 0.0 meV/atom.

Structure (CIF):
```
data_Ba5Sb3
_chemical_formula_sum 'Ba10 Sb6'
_space_group_name_H-M_alt 'P 1'
_space_group_IT_number 1
_space_group_name_Hall 'P 1'
_cell_length_a 10.1300
_cell_length_b 10.1300
_cell_length_c 7.8965
_cell_angle_alpha 90.00
_cell_angle_beta 90.00
_cell_angle_gamma 120.00
loop_
_atom_site_label
_atom_site_fract_x
_atom_site_fract_y
_atom_site_fract_z
Ba1 0.3333 0.6667 0.0000
Ba2 0.6667 0.3333 0.5000
Ba3 0.6667 0.3333 0.0000
Ba4 0.3333 0.6667 0.5000
Ba5 0.2563 0.0000 0.2500
Ba6 0.0000 0.2563 0.2500
Ba7 0.7436 0.7436 0.2500
Ba8 0.7437 0.0000 0.7500
Ba9 0.0000 0.7437 0.7500
Ba10 0.2564 0.2564 0.7500
Sb1 0.6093 0.0000 0.2500
Sb2 0.0000 0.6093 0.2500
Sb3 0.3907 0.3907 0.2500
Sb4 0.3907 0.0000 0.7500
Sb5 0.0000 0.3907 0.7500
Sb6 0.6093 0.6093 0.7500
```

---

[3]
Here is a geometry-optimized Ba2Sb structure from Alexandria via LeMat-Bulk. Energies are from PBE.

## Properties
The total energy comes out at -0.2507 Ry per atom. The value obtained for the uncorrected formation energy is -2.3 eV/f.u.

Structure (CIF):
```
data_Ba2Sb
_chemical_formula_sum 'Ba2 Sb1'
_space_group_name_H-M_alt 'P 1'
_space_group_IT_number 1
_space_group_name_Hall 'P 1'
_cell_length_a 5.0220
_cell_length_b 5.0220
_cell_length_c 8.3859
_cell_angle_alpha 90.00
_cell_angle_beta 90.00
_cell_angle_gamma 120.00
loop_
_atom_site_label
_atom_site_fract_x
_atom_site_fract_y
_atom_site_fract_z
Ba1 0.6667 0.3333 0.7785
Ba2 0.3333 0.6667 0.2215
Sb1 0.0000 0.0000 0.0000
```

---

[4]
Here is a geometry-optimized BaSb structure from Alexandria via LeMat-Bulk. Energies are from PBE.

## Properties
The total energy comes out at -0.2436 Ry per atom. The value obtained for the uncorrected formation energy is -0.6 eV/f.u.

Structure (CIF):
```
data_BaSb
_chemical_formula_sum 'Ba6 Sb6'
_space_group_name_H-M_alt 'P 1'
_space_group_IT_number 1
_space_group_name_Hall 'P 1'
_cell_length_a 9.6998
_cell_length_b 9.6998
_cell_length_c 9.6998
_cell_angle_alpha 90.00
_cell_angle_beta 90.00
_cell_angle_gamma 90.00
loop_
_atom_site_label
_atom_site_fract_x
_atom_site_fract_y
_atom_site_fract_z
Ba1 0.2500 0.5000 0.0000
Ba2 0.7500 0.5000 0.0000
Ba3 0.5000 0.0000 0.2500
Ba4 0.5000 0.0000 0.7500
Ba5 0.0000 0.2500 0.5000
Ba6 0.0000 0.7500 0.5000
Sb1 0.2500 0.0000 0.5000
Sb2 0.7500 0.0000 0.5000
Sb3 0.0000 0.5000 0.2500
Sb4 0.0000 0.5000 0.7500
Sb5 0.5000 0.2500 0.0000
Sb6 0.5000 0.7500 0.0000
```

---

[5]
Here is a geometry-optimized BaSb structure from Alexandria via LeMat-Bulk. Energies are from PBE.

## Properties
The total energy comes out at -0.2535 Ry per atom. The value obtained for the uncorrected formation energy is -0.9 eV/f.u.

Structure (CIF):
```
data_BaSb
_chemical_formula_sum 'Ba2 Sb2'
_space_group_name_H-M_alt 'P 1'
_space_group_IT_number 1
_space_group_name_Hall 'P 1'
_cell_length_a 5.8901
_cell_length_b 5.8901
_cell_length_c 5.8901
_cell_angle_alpha 60.00
_cell_angle_beta 60.00
_cell_angle_gamma 60.00
loop_
_atom_site_label
_atom_site_fract_x
_atom_site_fract_y
_atom_site_fract_z
Ba1 0.0000 0.0000 0.0000
Ba2 0.2500 0.2500 0.2500
Sb1 0.5000 0.5000 0.5000
Sb2 0.7500 0.7500 0.7500
```

---

[6]
Here is a geometry-optimized BaSb structure from Alexandria via LeMat-Bulk. Energies are from PBE.

## Properties
The total energy comes out at -0.2866 Ry per atom. The value obtained for the uncorrected formation energy is -1.8 eV/f.u.

Structure (CIF):
```
data_BaSb
_chemical_formula_sum 'Ba16 Sb16'
_space_group_name_H-M_alt 'P 1'
_space_group_IT_number 1
_space_group_name_Hall 'P 1'
_cell_length_a 14.4498
_cell_length_b 8.1059
_cell_length_c 11.4433
_cell_angle_alpha 90.00
_cell_angle_beta 90.00
_cell_angle_gamma 90.00
loop_
_atom_site_label
_atom_site_fract_x
_atom_site_fract_y
_atom_site_fract_z
Ba1 0.0000 0.0000 0.2179
Ba2 0.0000 0.0000 0.7821
Ba3 0.2500 0.7500 0.0321
Ba4 0.2500 0.7500 0.4679
Ba5 0.0000 0.5000 0.7179
Ba6 0.0000 0.5000 0.2821
Ba7 0.2500 0.2500 0.5321
Ba8 0.2500 0.2500 0.9679
Ba9 0.5000 0.0000 0.7179
Ba10 0.5000 0.0000 0.2821
Ba11 0.7500 0.7500 0.5321
Ba12 0.7500 0.7500 0.9679
Ba13 0.5000 0.5000 0.2179
Ba14 0.5000 0.5000 0.7821
Ba15 0.7500 0.2500 0.0321
Ba16 0.7500 0.2500 0.4679
Sb1 0.0000 0.3195 0.0000
Sb2 0.0000 0.6805 0.0000
Sb3 0.2500 0.4305 0.2500
Sb4 0.2500 0.0695 0.2500
Sb5 0.0000 0.8195 0.5000
Sb6 0.0000 0.1805 0.5000
Sb7 0.2500 0.9305 0.7500
Sb8 0.2500 0.5695 0.7500
Sb9 0.5000 0.3195 0.5000
Sb10 0.5000 0.6805 0.5000
Sb11 0.7500 0.4305 0.7500
Sb12 0.7500 0.0695 0.7500
Sb13 0.5000 0.8195 0.0000
Sb14 0.5000 0.1805 0.0000
Sb15 0.7500 0.9305 0.2500
Sb16 0.7500 0.5695 0.2500
```

---

[7]
Here is a geometry-optimized BaSb structure from Alexandria via LeMat-Bulk. Energies are from PBE.

## Properties
The total energy comes out at -0.2798 Ry per atom. The value obtained for the uncorrected formation energy is -1.6 eV/f.u.

Structure (CIF):
```
data_BaSb
_chemical_formula_sum 'Ba6 Sb6'
_space_group_name_H-M_alt 'P 1'
_space_group_IT_number 1
_space_group_name_Hall 'P 1'
_cell_length_a 15.3698
_cell_length_b 5.4390
_cell_length_c 6.9928
_cell_angle_alpha 90.00
_cell_angle_beta 90.00
_cell_angle_gamma 90.00
loop_
_atom_site_label
_atom_site_fract_x
_atom_site_fract_y
_atom_site_fract_z
Ba1 0.8034 0.0000 0.1934
Ba2 0.1966 0.0000 0.1934
Ba3 0.3034 0.5000 0.6934
Ba4 0.6966 0.5000 0.6934
Ba5 0.0000 0.5000 0.7522
Ba6 0.5000 0.0000 0.2522
Sb1 0.8394 0.0000 0.7011
Sb2 0.1606 0.0000 0.7011
Sb3 0.3394 0.5000 0.2011
Sb4 0.6606 0.5000 0.2011
Sb5 0.0000 0.0000 0.4608
Sb6 0.5000 0.5000 0.9608
```

---

[8]
Here is a geometry-optimized Ba2Sb structure from Alexandria via LeMat-Bulk. Energies are from PBE.

## Properties
The total energy comes out at -0.2494 Ry per atom. The value obtained for the uncorrected formation energy is -2.2 eV/f.u.

Structure (CIF):
```
data_Ba2Sb
_chemical_formula_sum 'Ba8 Sb4'
_space_group_name_H-M_alt 'P 1'
_space_group_IT_number 1
_space_group_name_Hall 'P 1'
_cell_length_a 19.4668
_cell_length_b 19.4668
_cell_length_c 19.4668
_cell_angle_alpha 164.74
_cell_angle_beta 164.74
_cell_angle_gamma 21.64
loop_
_atom_site_label
_atom_site_fract_x
_atom_site_fract_y
_atom_site_fract_z
Sb1 0.0679 0.0679 0.0000
Sb2 0.9321 0.9321 0.0000
Sb3 0.3179 0.8179 0.5000
Sb4 0.1821 0.6821 0.5000
Ba1 0.2530 0.2530 0.0000
Ba2 0.7470 0.7470 0.0000
Ba3 0.5030 0.0030 0.5000
Ba4 0.9970 0.4970 0.5000
Ba5 0.4114 0.4114 0.0000
Ba6 0.5886 0.5886 0.0000
Ba7 0.6614 0.1614 0.5000
Ba8 0.8386 0.3386 0.5000
```